Sr2BeCuH6 PBE relaxed; calculated density = 4.2 g cm⁻³; SG = Fm-3m; calculated volume = 10.0 A^3/atom; uncorrected energy = -3.31 eV/atom
1.0
0.051 -1.621 4.951
-2.699 -4.237 1.382
2.508 -4.383 1.281
Be Cu H Sr
1 1 6 2
direct
0.000 0.000 0.000 Be
0.500 0.500 0.500 Cu
0.771 0.229 0.229 H
0.229 0.771 0.229 H
0.771 0.771 0.229 H
0.229 0.229 0.771 H
0.771 0.229 0.771 H
0.229 0.771 0.771 H
0.250 0.250 0.250 Sr
0.750 0.750 0.750 Sr